No. 1
VASP calculation (PBE) on ThInCo after structural relaxation.

calculated volume	282.0	Å³/cell
formation enthalpy at 0 K	-198	meV per atom

Unit cell a=6.558 b=6.558 c=6.558 alpha=90.00 beta=90.00 gamma=90.00
Space group F-43m (No. 216)
Inequivalent atoms, fractional coordinates:
Th 0.000 0.000 0.000 x4
In 0.000 0.000 0.500 x4
Co 0.250 0.250 0.750 x4



No. 2
VASP calculation (PBE) on SrMgI3 after structural relaxation.

calculated volume	260.5	Å³/cell
raw formation energy	-4.12	eV/f.u.
polymorph energy (0 for the lowest one)	92	meV per atom

Unit cell a=6.386 b=6.386 c=6.386 alpha=90.00 beta=90.00 gamma=90.00
Space group Pm-3m (No. 221)
Inequivalent atoms, fractional coordinates:
Sr 0.000 0.000 0.000 x1
Mg 0.500 0.500 0.500 x1
I 0.000 0.000 0.500 x3



No. 3
VASP calculation (PBE) on KTbI4 after structural relaxation.

calculated volume	303.6	Å³/cell
raw formation energy	-8.48	eV/f.u.

Unit cell a=7.588 b=4.544 c=8.819 alpha=90.00 beta=93.15 gamma=90.00
Space group P2/m (No. 10)
Inequivalent atoms, fractional coordinates:
K 0.000 0.000 0.000 x1
Tb 0.000 0.500 0.500 x1
I 0.230 0.000 0.373 x2
I 0.235 0.500 0.787 x2



No. 4
VASP calculation (PBE) on Li3Sm2ZnNi12 after structural relaxation.

calculated volume	780.4	Å³/cell
formation enthalpy at 0 K	147	meV per atom

Unit cell a=5.7755 b=5.7755 c=27.0169 alpha=90.00 beta=90.00 gamma=120.00
Space group R-3m (No. 166, hexagonal axes)
Inequivalent atoms, fractional coordinates:
Li 0.0000 0.5000 0.0000 x9
Sm 0.0000 0.0000 0.1384 x6
Zn 0.0000 0.0000 0.5000 x3
Ni 0.0340 0.5170 0.8973 x18
Ni 0.0682 0.5341 0.6214 x18



No. 5
VASP calculation (PBE) on YFe4Co after structural relaxation.

calculated volume	340.9	Å³/cell
formation enthalpy at 0 K	55	meV per atom

Unit cell a=6.986 b=6.986 c=6.986 alpha=90.00 beta=90.00 gamma=90.00
Space group F-43m (No. 216)
Inequivalent atoms, fractional coordinates:
Y 0.000 0.000 0.000 x4
Fe 0.124 0.124 0.376 x16
Co 0.250 0.250 0.750 x4



No. 6
VASP calculation (PBE) on Sr2CuOs after structural relaxation.

calculated volume	218.4	Å³/cell
formation enthalpy at 0 K	340	meV per atom

Unit cell a=4.323 b=4.665 c=10.833 alpha=90.00 beta=90.00 gamma=90.00
Space group Amm2 (No. 38)
Inequivalent atoms, fractional coordinates:
Sr 0.000 0.000 0.000 x2
Sr 0.500 0.000 0.285 x2
Cu 0.000 0.000 0.692 x2
Os 0.500 0.000 0.596 x2



No. 7
VASP calculation (PBE) on SrCeMg2Tl4 after structural relaxation.

calculated volume	668.3	Å³/cell
formation enthalpy at 0 K	-245	meV per atom

Unit cell a=5.3790 b=5.3790 c=26.6712 alpha=90.00 beta=90.00 gamma=120.00
Space group R-3m (No. 166, hexagonal axes)
Inequivalent atoms, fractional coordinates:
Sr 0.0000 0.0000 0.0000 x3
Ce 0.0000 0.0000 0.5000 x3
Mg 0.0000 0.0000 0.2491 x6
Tl 0.0000 0.0000 0.1259 x6
Tl 0.0000 0.0000 0.3772 x6



No. 8
VASP calculation (PBE) on MnTl2BrCl3 after structural relaxation.

calculated volume	431.2	Å³/cell
raw formation energy	-6.78	eV/f.u.

Unit cell a=5.067 b=5.376 c=15.829 alpha=90.00 beta=90.00 gamma=90.00
Space group Immm (No. 71)
Inequivalent atoms, fractional coordinates:
Mn 0.000 0.000 0.000 x2
Tl 0.000 0.000 0.356 x4
Br 0.000 0.500 0.000 x2
Cl 0.000 0.000 0.158 x4
Cl 0.000 0.500 0.500 x2



No. 9
VASP calculation (PBE) on Ce4B3AsRh12 after structural relaxation.

calculated volume	651.2	Å³/cell
formation enthalpy at 0 K	-663	meV per atom

Unit cell a=8.668 b=8.668 c=8.668 alpha=90.00 beta=90.00 gamma=90.00
Space group Im-3m (No. 229)
Inequivalent atoms, fractional coordinates:
Ce 0.250 0.250 0.250 x8
B 0.000 0.000 0.500 x6
As 0.000 0.000 0.000 x2
Rh 0.000 0.000 0.269 x12
Rh 0.000 0.250 0.500 x12



No. 10
VASP calculation (PBE) on Mo3Pt after structural relaxation.

calculated volume	251.6	Å³/cell
formation enthalpy at 0 K	-16	meV per atom
polymorph energy (0 for the lowest one)	111	meV per atom

Unit cell a=4.860 b=9.131 c=5.670 alpha=90.00 beta=90.00 gamma=90.00
Space group Pnma (No. 62)
Inequivalent atoms, fractional coordinates:
Mo 0.103 0.250 0.116 x4
Mo 0.237 0.501 0.363 x8
Pt 0.096 0.250 0.618 x4



No. 11
VASP calculation (PBE) on MnBeSe2 after structural relaxation.

calculated volume	151.2	Å³/cell
raw formation energy	-1.09	eV/f.u.

Unit cell a=3.701 b=6.242 c=6.717 alpha=97.37 beta=93.38 gamma=99.71
Space group P1 (No. 1)
Inequivalent atoms, fractional coordinates:
Mn 0.000 0.000 0.000 x1
Mn 0.335 0.876 0.834 x1
Be 0.460 0.578 0.340 x1
Be 0.895 0.068 0.463 x1
Se 0.019 0.721 0.503 x1
Se 0.371 0.204 0.303 x1
Se 0.611 0.668 0.036 x1
Se 0.740 0.192 0.769 x1



No. 12
VASP calculation (PBE) on Tb3HoEr6Sc2 after structural relaxation.

calculated volume	716.2	Å³/cell
formation enthalpy at 0 K	37	meV per atom

Unit cell a=6.040 b=10.450 c=11.523 alpha=90.00 beta=100.03 gamma=90.00
Space group C2/m (No. 12)
Inequivalent atoms, fractional coordinates:
Tb 0.000 0.000 0.000 x2
Tb 0.000 0.333 0.000 x4
Ho 0.000 0.500 0.500 x2
Er 0.246 0.000 0.744 x4
Er 0.250 0.168 0.256 x8
Sc 0.000 0.167 0.500 x4